Computed, not measured: a relaxed NbPd5Au2 crystal at the GGA-PBE level of DFT.

a b c (Å): 7.458 7.458 7.458
angles (deg): 124.64 124.64 82.14
Atoms (fractional coordinates):
Nb: 0.250 0.250 0.000
Nb: 0.750 0.750 0.000
Pd: 0.000 0.000 0.000
Pd: 0.017 0.517 0.198
Pd: 0.180 0.983 0.500
Pd: 0.320 0.820 0.802
Pd: 0.483 0.680 0.500
Pd: 0.500 0.500 0.000
Pd: 0.517 0.320 0.500
Pd: 0.680 0.180 0.198
Pd: 0.820 0.017 0.500
Pd: 0.983 0.483 0.802
Au: 0.144 0.356 0.500
Au: 0.356 0.856 0.212
Au: 0.644 0.144 0.788
Au: 0.856 0.644 0.500

The polymorph energy (0 for the lowest one) comes out at 224.8 meV per atom. The formation energy comes out at -0.059 eV per atom. The crystal system is tetragonal.